Entry 1:
! PBE LaPaPtAu, optimized geometry; values from VASP
! Space-group type: F-43m, No. 216
! Final energy (Ry/atom): -0.4796
! ΔH_f (0 K) (eV per atom): -0.590
&SYSTEM
  ibrav = 0, nat = 4, ntyp = 4
/
ATOMIC_SPECIES
Pt 195.08 Pt.upf
Pa 231.04 Pa.upf
Au 196.97 Au.upf
La 138.91 La.upf
ATOMIC_POSITIONS angstrom
Pt 0.000 0.000 0.000
Pa 2.570 1.484 1.049
Au 5.139 2.967 2.098
La 7.709 4.451 3.147
CELL_PARAMETERS angstrom
5.139 0.000 0.000
2.570 4.451 0.000
2.570 1.484 4.196

Entry 2:
! PBE Pr6GePd2I3, optimized geometry; values from VASP
! Space-group type: C2/m, No. 12
! Final energy (Ry/atom): -0.3601
! Raw formation energy (eV per atom): -0.873
&SYSTEM
  ibrav = 0, nat = 12, ntyp = 4
/
ATOMIC_SPECIES
Pd 106.42 Pd.upf
Pr 140.91 Pr.upf
I 126.90 I.upf
Ge 72.64 Ge.upf
ATOMIC_POSITIONS angstrom
Pd -2.373 2.164 2.944
Pd -4.229 -0.929 0.480
Pr 1.415 -4.330 4.371
Pr -4.015 -0.252 3.342
Pr -2.772 -5.277 4.810
Pr -1.699 -2.423 0.419
Pr -0.901 -2.159 7.293
Pr 0.172 0.695 2.902
I 0.573 0.831 6.343
I -1.300 -2.291 3.856
I -3.174 -5.414 1.369
Ge 0.000 0.000 0.000
CELL_PARAMETERS angstrom
-0.530 5.237 5.392
-6.073 -4.002 -1.967
4.002 -5.817 4.288

Entry 3:
! PBE LiTbScNi, optimized geometry; values from VASP
! Space-group type: F-43m, No. 216
! Final energy (Ry/atom): -0.3533
! ΔH_f (0 K) (eV per atom): -0.143
&SYSTEM
  ibrav = 0, nat = 4, ntyp = 4
/
ATOMIC_SPECIES
Ni 58.69 Ni.upf
Sc 44.96 Sc.upf
Tb 158.93 Tb.upf
Li 6.94 Li.upf
ATOMIC_POSITIONS angstrom
Ni -6.956 -2.120 4.934
Sc 0.000 0.000 0.000
Tb -4.637 -1.413 3.289
Li -2.319 -0.707 1.645
CELL_PARAMETERS angstrom
-3.765 -2.924 0.392
-1.415 -1.513 4.312
-4.095 1.611 1.876

Entry 4:
! PBE KNa2InRh, optimized geometry; values from VASP
! Space-group type: P4/mmm, No. 123
! Final energy (Ry/atom): -0.1993
! ΔH_f (0 K) (eV per atom): 0.054
&SYSTEM
  ibrav = 0, nat = 5, ntyp = 4
/
ATOMIC_SPECIES
In 114.82 In.upf
K 39.10 K.upf
Rh 102.91 Rh.upf
Na 22.99 Na.upf
ATOMIC_POSITIONS angstrom
In 0.000 0.000 2.605
K 2.767 2.767 2.605
Rh 0.000 0.000 0.000
Na 0.000 2.767 0.000
Na 2.767 0.000 0.000
CELL_PARAMETERS angstrom
5.534 0.000 0.000
0.000 5.534 0.000
0.000 0.000 5.210

Entry 5:
! PBE GaH2F6, optimized geometry; values from VASP
! Space-group type: C2/c, No. 15
! Final energy (Ry/atom): -0.3011
&SYSTEM
  ibrav = 0, nat = 18, ntyp = 3
/
ATOMIC_SPECIES
F 19.00 F.upf
Ga 69.72 Ga.upf
H 1.01 H.upf
ATOMIC_POSITIONS angstrom
F 1.548 2.675 2.469
F 5.672 6.220 5.186
F 3.426 2.603 5.536
F 3.014 5.456 6.119
F 5.020 1.005 0.136
F 6.084 5.546 2.352
F 4.608 3.858 0.719
F 6.486 3.786 3.786
F 1.949 0.915 3.903
F 2.361 0.241 1.069
F 4.206 2.482 2.524
F 3.828 3.979 3.731
Ga 2.688 0.851 5.658
Ga 5.346 5.610 0.597
H 4.413 3.187 1.631
H 6.279 4.656 3.052
H 3.620 3.274 4.624
H 1.755 1.805 3.203
CELL_PARAMETERS angstrom
5.316 -0.144 -0.139
1.359 6.236 0.167
1.359 0.369 6.227

Entry 6:
! PBE Li2InAs, optimized geometry; values from VASP
! Space-group type: C2/m, No. 12
! Final energy (Ry/atom): -0.2298
! ΔH_f (0 K) (eV per atom): -0.322
&SYSTEM
  ibrav = 0, nat = 4, ntyp = 3
/
ATOMIC_SPECIES
In 114.82 In.upf
Li 6.94 Li.upf
As 74.92 As.upf
ATOMIC_POSITIONS angstrom
In 2.189 0.820 1.499
Li 4.334 1.624 3.338
Li 0.928 0.348 5.661
As 6.566 2.460 4.498
CELL_PARAMETERS angstrom
4.476 0.029 -0.001
3.393 2.920 -0.001
0.885 0.331 6.000